Entry 1:
# AlInW (meta-GGA SCAN, single point on PBEsol structure)
data_AlInW
_cell_length_a 4.351
_cell_length_b 4.351
_cell_length_c 4.351
_cell_angle_alpha 60.00
_cell_angle_beta 60.00
_cell_angle_gamma 60.00
_symmetry_space_group_name_H-M 'P 1'
_symmetry_Int_Tables_number 1
loop_
_symmetry_equiv_pos_as_xyz
'x,y,z'
loop_
_atom_site_label
_atom_site_type_symbol
_atom_site_fract_x
_atom_site_fract_y
_atom_site_fract_z
_atom_site_occupancy
Al1 Al 0.250 0.250 0.250 1
W1 W 0.500 0.500 0.500 1
In1 In 0.000 0.000 0.000 1
# Formation enthalpy at 0 K = 90.4 kJ per mole of atoms
# Energy above the most stable polymorph in this dataset = 0.580 eV/atom
# Magnetization = 0.565 μB/atom

=====

Entry 2:
# AlInW3 (meta-GGA SCAN, single point on PBEsol structure)
data_AlInW3
_cell_length_a 4.798
_cell_length_b 4.798
_cell_length_c 4.798
_cell_angle_alpha 90.00
_cell_angle_beta 90.00
_cell_angle_gamma 90.00
_symmetry_space_group_name_H-M 'P 1'
_symmetry_Int_Tables_number 1
loop_
_symmetry_equiv_pos_as_xyz
'x,y,z'
loop_
_atom_site_label
_atom_site_type_symbol
_atom_site_fract_x
_atom_site_fract_y
_atom_site_fract_z
_atom_site_occupancy
Al1 Al 0.500 0.500 0.500 1
W1 W 0.000 0.500 0.000 1
W2 W 0.000 0.000 0.500 1
W3 W 0.500 0.000 0.000 1
In1 In 0.000 0.000 0.000 1
# Formation enthalpy at 0 K = 291.9 kJ per mole of atoms
# Magnetization = 0.000 μB/atom

=====

Entry 3:
# AlInW (meta-GGA SCAN, single point on PBEsol structure)
data_AlInW
_cell_length_a 2.940
_cell_length_b 2.940
_cell_length_c 6.998
_cell_angle_alpha 90.00
_cell_angle_beta 90.00
_cell_angle_gamma 120.00
_symmetry_space_group_name_H-M 'P 1'
_symmetry_Int_Tables_number 1
loop_
_symmetry_equiv_pos_as_xyz
'x,y,z'
loop_
_atom_site_label
_atom_site_type_symbol
_atom_site_fract_x
_atom_site_fract_y
_atom_site_fract_z
_atom_site_occupancy
Al1 Al 0.000 0.000 0.017 1
W1 W 0.667 0.333 0.320 1
In1 In 0.333 0.667 0.663 1
# Formation enthalpy at 0 K = 34.5 kJ per mole of atoms
# Energy above the most stable polymorph in this dataset = 0.000 eV/atom
# Magnetization = 0.000 μB/atom

=====

Entry 4:
# AlInW (meta-GGA SCAN, single point on PBEsol structure)
data_AlInW
_cell_length_a 2.819
_cell_length_b 2.819
_cell_length_c 6.919
_cell_angle_alpha 101.75
_cell_angle_beta 101.75
_cell_angle_gamma 90.00
_symmetry_space_group_name_H-M 'P 1'
_symmetry_Int_Tables_number 1
loop_
_symmetry_equiv_pos_as_xyz
'x,y,z'
loop_
_atom_site_label
_atom_site_type_symbol
_atom_site_fract_x
_atom_site_fract_y
_atom_site_fract_z
_atom_site_occupancy
Al1 Al 0.986 0.986 0.972 1
W1 W 0.342 0.342 0.685 1
In1 In 0.671 0.671 0.343 1
# Formation enthalpy at 0 K = 38.3 kJ per mole of atoms
# Energy above the most stable polymorph in this dataset = 0.039 eV/atom
# Magnetization = 0.000 μB/atom

=====

Entry 5:
# Al2InW (meta-GGA SCAN, single point on PBEsol structure)
data_Al2InW
_cell_length_a 2.864
_cell_length_b 4.972
_cell_length_c 4.972
_cell_angle_alpha 109.76
_cell_angle_beta 90.00
_cell_angle_gamma 90.00
_symmetry_space_group_name_H-M 'P 1'
_symmetry_Int_Tables_number 1
loop_
_symmetry_equiv_pos_as_xyz
'x,y,z'
loop_
_atom_site_label
_atom_site_type_symbol
_atom_site_fract_x
_atom_site_fract_y
_atom_site_fract_z
_atom_site_occupancy
Al1 Al 0.000 0.500 0.000 1
Al2 Al 0.000 0.000 0.500 1
W1 W 0.500 0.500 0.500 1
In1 In 0.500 0.000 0.000 1
# Formation enthalpy at 0 K = 26.2 kJ per mole of atoms
# Magnetization = 0.000 μB/atom

=====

Entry 6:
# Al2InW (meta-GGA SCAN, single point on PBEsol structure)
data_Al2InW
_cell_length_a 3.918
_cell_length_b 3.918
_cell_length_c 5.102
_cell_angle_alpha 112.58
_cell_angle_beta 112.58
_cell_angle_gamma 90.00
_symmetry_space_group_name_H-M 'P 1'
_symmetry_Int_Tables_number 1
loop_
_symmetry_equiv_pos_as_xyz
'x,y,z'
loop_
_atom_site_label
_atom_site_type_symbol
_atom_site_fract_x
_atom_site_fract_y
_atom_site_fract_z
_atom_site_occupancy
Al1 Al 0.000 0.000 0.000 1
Al2 Al 0.750 0.250 0.500 1
W1 W 0.250 0.750 0.500 1
In1 In 0.500 0.500 0.000 1
# Formation enthalpy at 0 K = 17.5 kJ per mole of atoms
# Magnetization = 0.190 μB/atom